# 1
Below is KBe3N after structural relaxation, with properties calculated at the PBE level.

Calculated values
For the formation energy (no corrections), the calculation gives 1.17 eV per atom. The crystal system is cubic. Its symmetry is No. 221. The energy above the most stable polymorph in this dataset comes out at 0.000 eV per atom. The total magnetization is 0.0 Bohr magnetons per cell.

```
KBe3N
1.0
4.0644 0.0000 0.0000
0.0000 4.0644 0.0000
0.0000 0.0000 4.0644
K Be N
1 3 1
Direct
0.0000 0.0000 0.0000
0.0000 0.5000 0.5000
0.5000 0.0000 0.5000
0.5000 0.5000 0.0000
0.5000 0.5000 0.5000
```


# 2
Below is K2BeN after structural relaxation, with properties calculated at the PBE level.

Calculated values
For the formation energy (no corrections), the calculation gives 1.37 eV per atom. The crystal system is cubic. Its symmetry is No. 225. The energy above the most stable polymorph in this dataset comes out at 1.550 eV per atom. The total magnetization is 0.0 Bohr magnetons per cell.

```
K2BeN
1.0
0.0000 3.5819 3.5819
3.5819 0.0000 3.5819
3.5819 3.5819 0.0000
K Be N
2 1 1
Direct
0.2500 0.2500 0.2500
0.7500 0.7500 0.7500
0.0000 0.0000 0.0000
0.5000 0.5000 0.5000
```


# 3
Below is KBeN3 after structural relaxation, with properties calculated at the PBE level.

Calculated values
For the formation energy (no corrections), the calculation gives 1.56 eV per atom. The crystal system is cubic. Its symmetry is No. 221. The total magnetization is 0.0 Bohr magnetons per cell.

```
KBeN3
1.0
3.7138 0.0000 0.0000
0.0000 3.7138 0.0000
0.0000 0.0000 3.7138
K Be N
1 1 3
Direct
0.0000 0.0000 0.0000
0.5000 0.5000 0.5000
0.0000 0.5000 0.5000
0.5000 0.0000 0.5000
0.5000 0.5000 0.0000
```


# 4
Below is KNpBeN3 after structural relaxation, with properties calculated at the PBE level.

Calculated values
For the formation energy (no corrections), the calculation gives -0.81 eV per atom. The crystal system is monoclinic. Its symmetry is No. 11. The total magnetization is 2.0 Bohr magnetons per cell.

```
KNpBeN3
1.0
7.5675 0.0000 0.0000
0.0000 3.4181 0.0000
-2.5973 0.0000 7.2069
K Np Be N
2 2 2 6
Direct
0.2422 0.2500 0.2831
0.7578 0.7500 0.7169
0.3386 0.2500 0.8169
0.6614 0.7500 0.1831
0.0973 0.7500 0.5684
0.9027 0.2500 0.4316
0.0503 0.2500 0.6533
0.3392 0.7500 0.6474
0.3598 0.7500 0.0064
0.6402 0.2500 0.9936
0.6608 0.2500 0.3526
0.9497 0.7500 0.3467
```


# 5
Below is KBeN2O after structural relaxation, with properties calculated at the PBE level.

Calculated values
For the formation energy (no corrections), the calculation gives 2.66 eV per atom. The crystal system is tetragonal. Its symmetry is No. 123. The total magnetization is 5.3 Bohr magnetons per cell.

```
KBeN2O
1.0
4.9527 0.0000 0.0000
0.0000 4.9527 0.0000
0.0000 0.0000 4.6256
K Be N O
1 1 2 1
Direct
0.0000 0.0000 0.0000
0.5000 0.5000 0.5000
0.0000 0.5000 0.0000
0.5000 0.0000 0.0000
0.0000 0.0000 0.5000
```


# 6
Below is KBeN2O after structural relaxation, with properties calculated at the PBE level.

Calculated values
For the formation energy (no corrections), the calculation gives 0.75 eV per atom. The crystal system is tetragonal. Its symmetry is No. 123. The total magnetization is 2.8 Bohr magnetons per cell.

```
KBeN2O
1.0
3.5539 0.0000 0.0000
0.0000 3.5539 0.0000
0.0000 0.0000 4.5677
K Be N O
1 1 2 1
Direct
0.0000 0.0000 0.0000
0.5000 0.5000 0.5000
0.0000 0.5000 0.5000
0.5000 0.0000 0.5000
0.5000 0.5000 0.0000
```


# 7
Below is KBe2PdN after structural relaxation, with properties calculated at the PBE level.

Calculated values
For the formation energy (no corrections), the calculation gives 2.56 eV per atom. The crystal system is tetragonal. Its symmetry is No. 123. The total magnetization is 0.6 Bohr magnetons per cell.

```
KBe2PdN
1.0
4.7087 0.0000 0.0000
0.0000 4.7087 0.0000
0.0000 0.0000 4.0171
K Be Pd N
1 2 1 1
Direct
0.0000 0.0000 0.0000
0.0000 0.5000 0.0000
0.5000 0.0000 0.0000
0.5000 0.5000 0.5000
0.0000 0.0000 0.5000
```


# 8
Below is KBe2RhN after structural relaxation, with properties calculated at the PBE level.

Calculated values
For the formation energy (no corrections), the calculation gives 2.67 eV per atom. The crystal system is tetragonal. Its symmetry is No. 123. The total magnetization is 0.2 Bohr magnetons per cell.

```
KBe2RhN
1.0
4.4927 0.0000 0.0000
0.0000 4.4927 0.0000
0.0000 0.0000 3.9256
K Be Rh N
1 2 1 1
Direct
0.0000 0.0000 0.0000
0.0000 0.5000 0.0000
0.5000 0.0000 0.0000
0.5000 0.5000 0.5000
0.0000 0.0000 0.5000
```